No. 1
Entry from Alexandria via LeMat-Bulk: a crystal of LiZn2Cd relaxed with PBEsol (SCAN).

Unit cell a=2.893 b=4.277 c=5.427 alpha=90.00 beta=105.51 gamma=90.00
Space group Pm (No. 6)
Symmetry-distinct sites (fractional):
1 Li 0.000 0.000 0.000 x1
2 Zn 0.607 0.500 0.209 x1
3 Zn 0.729 0.000 0.460 x1
4 Cd 0.347 0.500 0.697 x1

Calculated values
DOS(E_F) ... 0.239 states/eV/atom
V ... 65 Å³/cell
ΔE_f ... -0.13 eV per atom
Total magnetic moment ... 0.00 Bohr magnetons per cell

No. 2
Entry from Alexandria via LeMat-Bulk: a crystal of K2BaY relaxed with PBEsol (SCAN).

Unit cell a=7.597 b=14.036 c=3.731 alpha=90.00 beta=90.00 gamma=90.00
Space group Cmmm (No. 65)
Symmetry-distinct sites (fractional):
1 K 0.250 0.250 0.000 x4
2 Ba 0.000 0.000 0.500 x2
3 Y 0.000 0.500 0.500 x2

Calculated values
DOS(E_F) ... 0.774 states/eV/atom
V ... 398 Å³/cell
ΔE_f ... 0.44 eV per atom
Total magnetic moment ... 0.09 Bohr magnetons per cell

No. 3
Entry from Alexandria via LeMat-Bulk: a crystal of Li2YAg2 relaxed with PBEsol (SCAN).

Unit cell a=7.658 b=7.658 c=3.079 alpha=90.00 beta=90.00 gamma=90.00
Space group P4/mbm (No. 127)
Symmetry-distinct sites (fractional):
1 Li 0.114 0.386 0.000 x4
2 Y 0.000 0.000 0.000 x2
3 Ag 0.184 0.684 0.500 x4

Calculated values
DOS(E_F) ... 0.548 states/eV/atom
V ... 181 Å³/cell
ΔE_f ... -0.19 eV per atom
Total magnetic moment ... 0.00 Bohr magnetons per cell

No. 4
Entry from Alexandria via LeMat-Bulk: a crystal of Cd5Rh4 relaxed with PBEsol (SCAN).

Unit cell a=8.458 b=8.458 c=4.100 alpha=90.00 beta=90.00 gamma=90.00
Space group I4/mmm (No. 139)
Symmetry-distinct sites (fractional):
1 Cd 0.000 0.000 0.000 x2
2 Cd 0.171 0.171 0.500 x8
3 Rh 0.000 0.346 0.000 x8

Calculated values
DOS(E_F) ... 0.581 states/eV/atom
V ... 293 Å³/cell
ΔE_f ... -0.06 eV per atom
Total magnetic moment ... 0.00 Bohr magnetons per cell

No. 5
Entry from Alexandria via LeMat-Bulk: a crystal of AuCNF2 relaxed with PBEsol (SCAN).

Unit cell a=4.354 b=4.354 c=3.722 alpha=90.00 beta=90.00 gamma=90.00
Space group P4/mmm (No. 123)
Symmetry-distinct sites (fractional):
1 Au 0.000 0.000 0.000 x1
2 C 0.500 0.500 0.500 x1
3 N 0.000 0.000 0.500 x1
4 F 0.000 0.500 0.000 x2

Calculated values
Energy relative to the elements, uncorrected ... 1.605 eV per atom
DOS(E_F) ... 0.609 states/eV/atom
V ... 71 Å³/cell
Total magnetic moment ... 0.01 Bohr magnetons per cell

No. 6
Entry from Alexandria via LeMat-Bulk: a crystal of RbNbCo2 relaxed with PBEsol (SCAN).

Unit cell a=6.410 b=6.410 c=6.410 alpha=90.00 beta=90.00 gamma=90.00
Space group Fm-3m (No. 225)
Symmetry-distinct sites (fractional):
1 Rb 0.000 0.000 0.000 x4
2 Nb 0.000 0.000 0.500 x4
3 Co 0.250 0.250 0.250 x8

Calculated values
DOS(E_F) ... 0.856 states/eV/atom
V ... 263 Å³/cell
ΔE_f ... 1.50 eV per atom
Total magnetic moment ... 6.52 Bohr magnetons per cell

- DOS(E_F) of number 2 (K2BaY)?
  0.774 states/eV/atom